(1)
The following is a DFT calculation (GGA-PBE) of a relaxed YBeAu2 crystal.

a b c (Å): 3.9790 5.1816 7.4413
angles (deg): 90.00 90.00 90.00
Space group Immm (No. 71)
Asymmetric unit:
Y1 0.0000 0.0000 0.0000 x2
Be1 0.0000 0.0000 0.5000 x2
Au1 0.0000 0.5000 0.1987 x4

(2)
The following is a DFT calculation (GGA-PBE) of a relaxed CaCrPb2Br crystal.

a b c (Å): 6.0479 6.0479 5.5351
angles (deg): 90.00 90.00 90.00
Space group P4/mmm (No. 123)
Asymmetric unit:
Ca1 0.0000 0.0000 0.0000 x1
Cr1 0.0000 0.0000 0.5000 x1
Pb1 0.0000 0.5000 0.0000 x2
Br1 0.5000 0.5000 0.5000 x1

Calculated values
**Raw formation energy**: 85.5 kJ/mol of atoms

(3)
The following is a DFT calculation (GGA-PBE) of a relaxed Nd6Hg2Te3Se crystal.

a b c (Å): 19.5814 4.3365 9.1002
angles (deg): 90.00 105.86 90.00
Space group C2/m (No. 12)
Asymmetric unit:
Nd1 0.0017 0.0000 0.2361 x4
Nd2 0.1613 0.5000 0.0895 x4
Nd3 0.1646 0.5000 0.5904 x4
Hg1 0.1699 0.0000 0.3439 x4
Te1 0.0000 0.5000 0.5000 x2
Te2 0.1660 0.0000 0.8417 x4
Se1 0.0000 0.5000 0.0000 x2

Calculated values
**Raw formation energy**: -112.3 kJ/mol of atoms

(4)
The following is a DFT calculation (GGA-PBE) of a relaxed La4NiS2Cl crystal.

a b c (Å): 7.2999 4.0606 7.3382
angles (deg): 90.00 109.47 90.00
Space group P2/m (No. 10)
Asymmetric unit:
La1 0.2353 0.0000 0.2426 x2
La2 0.2419 0.5000 0.7357 x2
Ni1 0.0000 0.5000 0.0000 x1
S1 0.0000 0.0000 0.5000 x1
S2 0.5000 0.5000 0.5000 x1
Cl1 0.5000 0.0000 0.0000 x1

Calculated values
**Raw formation energy**: -148.6 kJ/mol of atoms

(5)
The following is a DFT calculation (GGA-PBE) of a relaxed UNbVRu crystal.

a b c (Å): 6.4283 6.4283 6.4283
angles (deg): 90.00 90.00 90.00
Space group F-43m (No. 216)
Asymmetric unit:
U1 0.0000 0.0000 0.0000 x4
Nb1 0.2500 0.2500 0.2500 x4
V1 0.2500 0.2500 0.7500 x4
Ru1 0.0000 0.0000 0.5000 x4

(6)
The following is a DFT calculation (GGA-PBE) of a relaxed CaInSn2Os crystal.

a b c (Å): 5.5119 5.5119 5.0768
angles (deg): 90.00 90.00 90.00
Space group P4/mmm (No. 123)
Asymmetric unit:
Ca1 0.0000 0.0000 0.0000 x1
In1 0.5000 0.5000 0.5000 x1
Sn1 0.0000 0.5000 0.5000 x2
Os1 0.5000 0.5000 0.0000 x1

(7)
The following is a DFT calculation (GGA-PBE) of a relaxed Mn2Be2N crystal.

a b c (Å): 2.9158 2.9158 12.4300
angles (deg): 90.00 90.00 90.00
Space group I4/mmm (No. 139)
Asymmetric unit:
Mn1 0.0000 0.5000 0.2500 x4
Be1 0.0000 0.0000 0.0845 x4
N1 0.0000 0.0000 0.5000 x2

Calculated values
**Raw formation energy**: 102.4 kJ/mol of atoms
**Polymorph energy (0 for the lowest one)**: 741.7 meV/atom

(8)
The following is a DFT calculation (GGA-PBE) of a relaxed ZrRuAu crystal.

a b c (Å): 3.4077 3.4077 9.3018
angles (deg): 90.00 90.00 90.00
Space group I4mm (No. 107)
Asymmetric unit:
Zr1 0.0000 0.0000 0.0000 x2
Ru1 0.0000 0.0000 0.6428 x2
Au1 0.0000 0.0000 0.3211 x2

Calculated values
**Polymorph energy (0 for the lowest one)**: 0.0 meV/atom

E in eV per atom, matching the order above: -4.616, -3.257, -4.674, -5.990, -9.808, -3.850, -5.762, -7.359